Entry 1:
The following is a PBE calculation of a relaxed structure of Pr2GePd, from the Alexandria database.

The structure in extended XYZ format:
```
8
Lattice="4.443 0.000 0.000 0.000 6.062 0.045 0.000 -2.967 7.719" Properties=species:S:1:pos:R:3 pbc="T T T"
Pr 1.111 4.517 0.508
Pr 3.332 -1.422 7.256
Pr 3.332 0.115 3.234
Pr 1.111 2.980 4.530
Ge 1.111 -0.100 5.459
Ge 3.332 3.195 2.305
Pd 3.332 1.528 6.109
Pd 1.111 1.567 1.655
```

The formation energy is -0.78 eV per atom. Its density is 7.34 g cm⁻³. As for the space group: P2_1/m (11). The calculation puts the magnetic moment at 0.00 μB/f.u.


Entry 2:
The following is a PBE calculation of a relaxed structure of LiHBr, from the Alexandria database.

The structure in extended XYZ format:
```
12
Lattice="-2.571 -0.607 2.691 5.801 -14.302 2.316 4.926 1.984 -0.083" Properties=species:S:1:pos:R:3 pbc="T T T"
Br 3.363 -1.228 0.318
Br 2.000 -4.931 0.799
Br 3.801 -9.371 1.518
Br 7.363 -11.090 1.915
H 3.143 -6.626 3.794
H 4.576 1.845 -0.069
H -2.221 -0.467 2.678
H 5.013 -6.299 1.130
Li 4.775 -11.774 1.907
Li 4.338 -3.631 0.707
Li 1.025 -2.528 0.409
Li 6.389 -8.687 1.526
```

Its density is 2.63 g cm⁻³. For the energy above the most stable polymorph in this dataset, the calculation gives 14.2 meV/atom. As for the space group: C2/m (12). The calculation puts the magnetic moment at 0.00 μB/f.u.


Entry 3:
The following is a PBE calculation of a relaxed structure of CaReW2, from the Alexandria database.

The structure in extended XYZ format:
```
4
Lattice="-0.782 -9.533 2.770 1.527 -9.788 1.012 1.894 -9.010 3.795" Properties=species:S:1:pos:R:3 pbc="T T T"
W 0.026 -0.276 0.074
W 1.294 -13.890 3.715
Re 1.979 -21.249 5.683
Ca 0.660 -7.083 1.894
```

The formation energy is 0.72 eV per atom. Its density is 13.67 g cm⁻³. For the energy above the most stable polymorph in this dataset, the calculation gives 210.3 meV/atom. As for the space group: R-3m (166). The calculation puts the magnetic moment at 0.00 μB/f.u.


Entry 4:
The following is a PBE calculation of a relaxed structure of Li2CdAg4, from the Alexandria database.

The structure in extended XYZ format:
```
14
Lattice="9.894 0.000 0.000 0.000 4.833 -2.442 0.000 -0.494 5.749" Properties=species:S:1:pos:R:3 pbc="T T T"
Li 5.389 3.530 1.948
Li 4.505 0.810 1.358
Li 9.452 1.113 3.169
Li 0.442 3.227 0.137
Ag 2.799 3.388 3.309
Ag 3.094 3.684 0.478
Ag 2.148 0.972 4.530
Ag 6.800 0.656 2.829
Ag 1.853 1.268 1.699
Ag 8.041 3.072 1.607
Ag 7.095 0.952 -0.003
Ag 7.746 3.369 -1.224
Cd 0.000 0.000 0.000
Cd 4.947 2.417 -1.221
```

The formation energy is -0.09 eV per atom. Its density is 7.04 g cm⁻³. For the energy above the most stable polymorph in this dataset, the calculation gives 0.0 meV/atom. As for the space group: P2_1/c (14). The calculation puts the magnetic moment at 0.00 μB/f.u.


Entry 5:
The following is a PBE calculation of a relaxed structure of KOs2SeBr, from the Alexandria database.

The structure in extended XYZ format:
```
5
Lattice="4.623 0.000 0.000 0.000 6.135 0.000 0.000 0.000 4.623" Properties=species:S:1:pos:R:3 pbc="T T T"
Br 0.000 0.000 0.000
K 2.311 3.067 2.311
Se 0.000 3.067 0.000
Os 2.311 0.000 0.000
Os 0.000 0.000 2.311
```

Its density is 7.33 g cm⁻³. As for the space group: P4/mmm (123). The calculation puts the magnetic moment at 2.86 μB/f.u. Its energy relative to the elements, uncorrected is 1.7612 eV/atom.


Entry 6:
The following is a PBE calculation of a relaxed structure of HfTcGe, from the Alexandria database.

The structure in extended XYZ format:
```
3
Lattice="3.198 0.000 0.000 0.000 4.345 0.000 0.000 -2.172 3.762" Properties=species:S:1:pos:R:3 pbc="T T T"
Tc 0.433 0.000 0.000
Hf 2.244 0.000 2.508
Ge 0.522 2.172 1.254
```

The formation energy is -0.32 eV per atom. Its density is 11.09 g cm⁻³. For the energy above the most stable polymorph in this dataset, the calculation gives 377.9 meV/atom. As for the space group: P3m1 (156). The calculation puts the magnetic moment at 0.00 μB/f.u.


Entry 7:
The following is a PBE calculation of a relaxed structure of MgGaSi, from the Alexandria database.

The structure in extended XYZ format:
```
6
Lattice="4.631 -0.131 -0.015 1.955 4.771 -0.108 2.059 0.644 4.880" Properties=species:S:1:pos:R:3 pbc="T T T"
Ga 7.591 4.601 3.136
Ga 5.362 3.619 2.201
Mg 3.135 1.720 2.245
Mg 3.185 4.318 0.259
Si 5.348 2.122 4.298
Si 5.607 2.187 0.135
```

Its density is 3.70 g cm⁻³. As for the space group: P1 (1). The calculation puts the magnetic moment at 0.00 μB/f.u. Its energy relative to the elements, uncorrected is 0.0125 eV/atom.


Entry 8:
The following is a PBE calculation of a relaxed structure of CsBePb3, from the Alexandria database.

The structure in extended XYZ format:
```
5
Lattice="6.468 0.000 0.000 0.000 6.468 0.000 0.000 0.000 6.468" Properties=species:S:1:pos:R:3 pbc="T T T"
Pb 0.000 0.000 3.234
Pb 0.000 3.234 0.000
Pb 3.234 0.000 0.000
Be 3.234 3.234 3.234
Cs 0.000 0.000 0.000
```

The formation energy is 1.80 eV per atom. Its density is 4.68 g cm⁻³. For the energy above the most stable polymorph in this dataset, the calculation gives 1512.8 meV/atom. As for the space group: Pm-3m (221). The calculation puts the magnetic moment at 0.00 μB/f.u.


Entry 9:
The following is a PBE calculation of a relaxed structure of AlRuCl, from the Alexandria database.

The structure in extended XYZ format:
```
3
Lattice="-2.255 2.388 2.657 -1.186 -1.551 3.745 1.769 1.460 3.547" Properties=species:S:1:pos:R:3 pbc="T T T"
Al 0.000 0.000 0.000
Cl -0.836 1.148 4.974
Ru -0.418 0.574 2.487
```

Its density is 5.10 g cm⁻³. For the energy above the most stable polymorph in this dataset, the calculation gives 615.5 meV/atom. As for the space group: F-43m (216). The calculation puts the magnetic moment at 0.00 μB/f.u. Its energy relative to the elements, uncorrected is 0.4233 eV/atom.


Entry 10:
The following is a PBE calculation of a relaxed structure of Ni4I, from the Alexandria database.

The structure in extended XYZ format:
```
5
Lattice="-3.856 2.443 -0.251 -2.010 -2.872 2.935 1.410 2.586 3.496" Properties=species:S:1:pos:R:3 pbc="T T T"
Ni 0.000 0.000 0.000
Ni -1.223 2.514 1.623
Ni -2.933 -0.215 1.342
Ni -0.300 -0.143 3.216
I -2.228 1.078 3.090
```

Its density is 6.29 g cm⁻³. As for the space group: Pm-3m (221). The calculation puts the magnetic moment at 0.97 μB/f.u. Its energy relative to the elements, uncorrected is 1.3402 eV/atom.


Entry 11:
The following is a PBE calculation of a relaxed structure of DyAu3, from the Alexandria database.

The structure in extended XYZ format:
```
4
Lattice="4.045 0.000 0.000 0.000 4.045 0.000 -2.022 -2.022 5.704" Properties=species:S:1:pos:R:3 pbc="T T T"
Au 2.022 2.022 2.771
Au 2.022 2.022 0.000
Au 0.000 0.000 2.933
Dy 0.000 0.000 0.000
```

The formation energy is -0.29 eV per atom. Its density is 13.41 g cm⁻³. As for the space group: I4/mmm (139). The calculation puts the magnetic moment at 0.00 μB/f.u.


Entry 12:
The following is a PBE calculation of a relaxed structure of PmHPd, from the Alexandria database.

The structure in extended XYZ format:
```
3
Lattice="-0.553 3.569 0.501 -2.001 0.118 -3.046 -2.268 -2.715 3.568" Properties=species:S:1:pos:R:3 pbc="T T T"
Pd -4.771 0.984 0.991
H -1.432 -0.352 0.927
Pm -2.377 1.573 -0.560
```

Its density is 7.31 g cm⁻³. For the energy above the most stable polymorph in this dataset, the calculation gives 209.9 meV/atom. As for the space group: I4mm (107). The calculation puts the magnetic moment at 0.00 μB/f.u.


Question: The highest density belongs to which entry?
Answer: CaReW2


Question: What is the formula in the second record?
Answer: LiHBr


Question: density of number 2 (LiHBr)?
Answer: 2.63 g cm⁻³


Question: What is the formula in the fifth record?
Answer: KOs2SeBr